First-principles (PBE-GGA) data for a relaxed Pm2I3 crystal, as listed in the Alexandria database.

Summary:
E_tot: -39.5 eV/cell
V: 42.49 Å³ per atom
space group: C2/m
offset from the most stable computed form: 0 meV per atom

Geometry as extended XYZ:
```
10
Lattice="9.864 -2.104 0.000 9.864 2.104 0.000 -6.898 0.000 10.234" Properties=species:S:1:pos:R:3 pbc="T T T"
Pm -1.774 0.000 4.693
Pm 5.703 0.000 2.248
Pm 7.128 0.000 7.986
Pm 14.605 0.000 5.541
I 3.226 0.000 0.042
I 2.993 0.000 3.866
I 3.934 0.000 7.786
I 8.897 0.000 2.448
I 9.838 0.000 6.368
I 9.605 0.000 10.192
```